No. 1
VASP calculation (PBE) on a geometry-optimized Rb3RuAu structure.

CIF file:
```
data_Rb3RuAu
_chemical_formula_sum 'Rb3 Ru1 Au1'
_symmetry_space_group_name_H-M 'P m -3 m'
_symmetry_Int_Tables_number 221
_symmetry_space_group_name_Hall '-P 4 2 3'
_cell_length_a 6.350
_cell_length_b 6.350
_cell_length_c 6.350
_cell_angle_alpha 90.00
_cell_angle_beta 90.00
_cell_angle_gamma 90.00
loop_
_atom_site_label
_atom_site_fract_x
_atom_site_fract_y
_atom_site_fract_z
Rb1 0.000 0.000 0.500
Ru1 0.000 0.000 0.000
Au1 0.500 0.500 0.500
```

Computed properties:
energy relative to the lowest polymorph listed for this composition: 0.0 kJ per mole of atoms


No. 2
VASP calculation (PBE) on a geometry-optimized YRh2AuC structure.

CIF file:
```
data_YRh2AuC
_chemical_formula_sum 'Y1 Rh2 Au1 C1'
_symmetry_space_group_name_H-M 'P 4/m m m'
_symmetry_Int_Tables_number 123
_symmetry_space_group_name_Hall '-P 4 2'
_cell_length_a 4.102
_cell_length_b 4.102
_cell_length_c 4.804
_cell_angle_alpha 90.00
_cell_angle_beta 90.00
_cell_angle_gamma 90.00
loop_
_atom_site_label
_atom_site_fract_x
_atom_site_fract_y
_atom_site_fract_z
Y1 0.000 0.000 0.000
Rh1 0.000 0.500 0.500
Au1 0.500 0.500 0.000
C1 0.000 0.000 0.500
```


No. 3
VASP calculation (PBE) on a geometry-optimized NiMo2Au structure.

CIF file:
```
data_NiMo2Au
_chemical_formula_sum 'Ni2 Mo4 Au2'
_symmetry_space_group_name_H-M 'C 1 m 1'
_symmetry_Int_Tables_number 8
_symmetry_space_group_name_Hall 'C -2y'
_cell_length_a 9.085
_cell_length_b 2.703
_cell_length_c 4.992
_cell_angle_alpha 90.00
_cell_angle_beta 98.09
_cell_angle_gamma 90.00
loop_
_atom_site_label
_atom_site_fract_x
_atom_site_fract_y
_atom_site_fract_z
Ni1 0.000 0.000 0.000
Mo1 0.236 0.500 0.231
Mo2 0.498 0.000 0.484
Au1 0.249 0.000 0.752
```

Computed properties:
energy relative to the lowest polymorph listed for this composition: 8.7 kJ per mole of atoms


No. 4
VASP calculation (PBE) on a geometry-optimized VAsAu structure.

CIF file:
```
data_VAsAu
_chemical_formula_sum 'V2 As2 Au2'
_symmetry_space_group_name_H-M 'I 4 m m'
_symmetry_Int_Tables_number 107
_symmetry_space_group_name_Hall 'I 4 -2'
_cell_length_a 3.167
_cell_length_b 3.167
_cell_length_c 9.915
_cell_angle_alpha 90.00
_cell_angle_beta 90.00
_cell_angle_gamma 90.00
loop_
_atom_site_label
_atom_site_fract_x
_atom_site_fract_y
_atom_site_fract_z
V1 0.000 0.000 0.000
As1 0.000 0.000 0.613
Au1 0.000 0.000 0.315
```


Ordered uncorrected energy results: -0.0831, -0.2576, -0.2747, -0.2079; unit Ha/atom.
Ordered formation energy results: 0.83, -0.28, 0.20, 0.02; unit eV/atom.